1.
VASP calculation (GGA-PBE) on a relaxed TbNd7Sc4 crystal.

Computed properties:
ΔE_f = 0.228 eV per atom
Calculated total energy = -0.37117 Ry/atom
Total magnetic moment = 0.52 μB per cell

abc: 8.3783 8.3783 9.5467
angles: 118.03 118.03 41.21
Sites, in units of the cell vectors:
Tb1 0.0000 0.0000 0.0000
Nd1 0.0895 0.0895 0.4497
Nd2 0.2088 0.2088 0.8847
Nd3 0.2385 0.2385 0.2744
Nd4 0.5000 0.5000 0.0000
Nd5 0.7615 0.7615 0.7256
Nd6 0.7912 0.7912 0.1153
Nd7 0.9105 0.9105 0.5503
Sc1 0.3354 0.3354 0.6512
Sc2 0.4451 0.4451 0.3022
Sc3 0.5549 0.5549 0.6978
Sc4 0.6646 0.6646 0.3488

***

2.
VASP calculation (GGA-PBE) on a relaxed TbNd4Sc3 crystal.

Computed properties:
ΔE_f = 0.047 eV per atom
Distance to the lowest polymorph of the same formula = 0.0 meV per atom
Calculated total energy = -0.38882 Ry/atom
Total magnetic moment = 0.00 μB per cell

abc: 11.3684 6.0903 7.0536
angles: 90.00 90.00 90.00
Sites, in units of the cell vectors:
Tb1 0.0000 0.1617 0.0000
Tb2 0.5000 0.8383 0.5000
Nd1 0.0000 0.1626 0.4943
Nd2 0.0000 0.6760 0.7463
Nd3 0.2482 0.4992 0.9951
Nd4 0.2518 0.5008 0.4951
Nd5 0.5000 0.3240 0.2463
Nd6 0.5000 0.8374 0.9943
Nd7 0.7482 0.5008 0.4951
Nd8 0.7518 0.4992 0.9951
Sc1 0.0000 0.6673 0.2449
Sc2 0.2463 0.9964 0.2460
Sc3 0.2537 0.0036 0.7460
Sc4 0.5000 0.3327 0.7449
Sc5 0.7463 0.0036 0.7460
Sc6 0.7537 0.9964 0.2460

***

3.
VASP calculation (GGA-PBE) on a relaxed Tb2NdSc5 crystal.

Computed properties:
ΔE_f = 0.058 eV per atom
Calculated total energy = -0.41547 Ry/atom
Total magnetic moment = 0.00 μB per cell

abc: 6.7162 6.7162 6.7162
angles: 118.64 118.64 92.38
Sites, in units of the cell vectors:
Tb1 0.0000 0.5000 0.5000
Tb2 0.5000 0.0000 0.5000
Nd1 0.9995 0.9995 0.0000
Sc1 0.0002 0.0002 0.5005
Sc2 0.0002 0.4997 0.0000
Sc3 0.4997 0.0002 0.0000
Sc4 0.5003 0.5003 0.0000
Sc5 0.4997 0.4997 0.4995

***

4.
VASP calculation (GGA-PBE) on a relaxed Tb5Nd3Sc crystal.

Computed properties:
ΔE_f = 0.556 eV per atom
Calculated total energy = -0.31673 Ry/atom
Total magnetic moment = 0.00 μB per cell

abc: 8.3081 8.3081 11.5906
angles: 111.50 111.50 84.73
Sites, in units of the cell vectors:
Tb1 0.0067 0.0067 0.3710
Tb2 0.0718 0.5801 0.1917
Tb3 0.1807 0.1807 0.9586
Tb4 0.2167 0.7833 0.0000
Tb5 0.4199 0.9282 0.8083
Tb6 0.5801 0.0718 0.1917
Tb7 0.7833 0.2167 0.0000
Tb8 0.8193 0.8193 0.0414
Tb9 0.9282 0.4199 0.8083
Tb10 0.9933 0.9933 0.6290
Nd1 0.1807 0.1807 0.2435
Nd2 0.2813 0.2813 0.6554
Nd3 0.5000 0.5000 0.0000
Nd4 0.5000 0.5000 0.5000
Nd5 0.7187 0.7187 0.3446
Nd6 0.8193 0.8193 0.7565
Sc1 0.4366 0.4366 0.2132
Sc2 0.5634 0.5634 0.7868

***

5.
VASP calculation (GGA-PBE) on a relaxed Tb2Nd7Sc2 crystal.

Computed properties:
ΔE_f = 0.135 eV per atom
Distance to the lowest polymorph of the same formula = 0.0 meV per atom
Calculated total energy = -0.35958 Ry/atom
Total magnetic moment = 0.00 μB per cell

abc: 6.8796 6.8796 8.1902
angles: 97.85 97.85 104.20
Sites, in units of the cell vectors:
Tb1 0.0794 0.0794 0.3184
Tb2 0.9206 0.9206 0.6816
Nd1 0.0157 0.5826 0.3208
Nd2 0.2977 0.2977 0.0152
Nd3 0.4174 0.9843 0.6792
Nd4 0.5000 0.5000 0.5000
Nd5 0.5826 0.0157 0.3208
Nd6 0.7023 0.7023 0.9848
Nd7 0.9843 0.4174 0.6792
Sc1 0.2113 0.7887 0.0000
Sc2 0.7887 0.2113 0.0000

***

6.
VASP calculation (GGA-PBE) on a relaxed Tb6Nd5Sc2 crystal.

Computed properties:
ΔE_f = 0.058 eV per atom
Calculated total energy = -0.35915 Ry/atom
Total magnetic moment = 0.00 μB per cell

abc: 11.3822 20.5347 3.6114
angles: 90.00 90.00 90.00
Sites, in units of the cell vectors:
Tb1 0.0798 0.1550 0.0000
Tb2 0.1683 0.8828 0.5000
Tb3 0.2220 0.5552 0.5000
Tb4 0.2780 0.0552 0.5000
Tb5 0.3317 0.3828 0.5000
Tb6 0.4202 0.6550 0.0000
Tb7 0.5798 0.3450 0.0000
Tb8 0.6683 0.6172 0.5000
Tb9 0.7220 0.9448 0.5000
Tb10 0.7780 0.4448 0.5000
Tb11 0.8317 0.1172 0.5000
Tb12 0.9202 0.8450 0.0000
Nd1 0.0000 0.0000 0.0000
Nd2 0.0608 0.4225 0.0000
Nd3 0.1485 0.7225 0.0000
Nd4 0.3515 0.2225 0.0000
Nd5 0.4392 0.9225 0.0000
Nd6 0.5000 0.5000 0.0000
Nd7 0.5608 0.0775 0.0000
Nd8 0.6485 0.7775 0.0000
Nd9 0.8515 0.2775 0.0000
Nd10 0.9392 0.5775 0.0000
Sc1 0.1109 0.2861 0.5000
Sc2 0.3891 0.7861 0.5000
Sc3 0.6109 0.2139 0.5000
Sc4 0.8891 0.7139 0.5000

***

7.
VASP calculation (GGA-PBE) on a relaxed Tb2Nd5Sc2 crystal.

Computed properties:
ΔE_f = 0.248 eV per atom
Distance to the lowest polymorph of the same formula = 131.0 meV per atom
Calculated total energy = -0.35548 Ry/atom
Total magnetic moment = 0.00 μB per cell

abc: 10.2349 10.2349 10.2349
angles: 79.31 113.20 142.33
Sites, in units of the cell vectors:
Tb1 0.0000 0.0000 0.0000
Tb2 0.0000 0.5000 0.5000
Tb3 0.8455 0.6142 0.7314
Tb4 0.8828 0.1142 0.2686
Nd1 0.2033 0.1043 0.5991
Nd2 0.3735 0.0136 0.0624
Nd3 0.3735 0.8110 0.8599
Nd4 0.4953 0.2904 0.3286
Nd5 0.4953 0.6666 0.7049
Nd6 0.5052 0.6043 0.4009
Nd7 0.9512 0.3110 0.9376
Nd8 0.9512 0.5136 0.1401
Nd9 0.9617 0.1666 0.6714
Nd10 0.9617 0.7904 0.2951
Sc1 0.4761 0.5940 0.0666
Sc2 0.4761 0.9094 0.3821
Sc3 0.5274 0.0940 0.6179
Sc4 0.5274 0.4094 0.9334

***

8.
VASP calculation (GGA-PBE) on a relaxed Tb5Nd2Sc4 crystal.

Computed properties:
ΔE_f = 0.053 eV per atom
Distance to the lowest polymorph of the same formula = 0.0 meV per atom
Calculated total energy = -0.38371 Ry/atom
Total magnetic moment = 0.00 μB per cell

abc: 11.4126 11.4126 8.6539
angles: 109.47 109.47 18.04
Sites, in units of the cell vectors:
Tb1 0.0000 0.0000 0.0000
Tb2 0.2874 0.2874 0.3588
Tb3 0.3589 0.3589 0.8021
Tb4 0.6411 0.6411 0.1979
Tb5 0.7126 0.7126 0.6412
Nd1 0.0670 0.0670 0.4372
Nd2 0.9330 0.9330 0.5628
Sc1 0.1907 0.1907 0.9506
Sc2 0.4294 0.4294 0.2257
Sc3 0.5706 0.5706 0.7743
Sc4 0.8093 0.8093 0.0494

***

9.
VASP calculation (GGA-PBE) on a relaxed Tb4Nd5Sc2 crystal.

Computed properties:
ΔE_f = 0.236 eV per atom
Distance to the lowest polymorph of the same formula = 152.7 meV per atom
Calculated total energy = -0.35027 Ry/atom
Total magnetic moment = 0.00 μB per cell

abc: 12.4735 12.4735 12.4735
angles: 163.95 136.36 46.79
Sites, in units of the cell vectors:
Tb1 0.0990 0.0990 0.0000
Tb2 0.1914 0.5000 0.6914
Tb3 0.8086 0.5000 0.3086
Tb4 0.9010 0.9010 0.0000
Nd1 0.1393 0.3462 0.7931
Nd2 0.4469 0.6538 0.7931
Nd3 0.5000 0.0000 0.5000
Nd4 0.5531 0.3462 0.2069
Nd5 0.8607 0.6538 0.2069
Sc1 0.2301 0.2301 0.0000
Sc2 0.7699 0.7699 0.0000

***

10.
VASP calculation (GGA-PBE) on a relaxed Tb5Nd4Sc2 crystal.

Computed properties:
ΔE_f = 0.297 eV per atom
Distance to the lowest polymorph of the same formula = 257.8 meV per atom
Calculated total energy = -0.34487 Ry/atom
Total magnetic moment = 0.00 μB per cell

abc: 12.2434 12.2434 12.2434
angles: 163.72 134.95 48.21
Sites, in units of the cell vectors:
Tb1 0.0000 0.0000 0.0000
Tb2 0.0515 0.3435 0.7080
Tb3 0.3644 0.6565 0.7080
Tb4 0.6356 0.3435 0.2920
Tb5 0.9485 0.6565 0.2920
Nd1 0.2945 0.5000 0.7945
Nd2 0.4015 0.9015 0.5000
Nd3 0.5985 0.0985 0.5000
Nd4 0.7055 0.5000 0.2055
Sc1 0.2702 0.7702 0.5000
Sc2 0.7298 0.2298 0.5000

***

11.
VASP calculation (GGA-PBE) on a relaxed Tb2Nd5Sc4 crystal.

Computed properties:
ΔE_f = 0.152 eV per atom
Calculated total energy = -0.37923 Ry/atom
Total magnetic moment = 0.00 μB per cell

abc: 12.3892 12.3892 12.3892
angles: 163.96 138.23 45.02
Sites, in units of the cell vectors:
Tb1 0.2298 0.2298 0.0000
Tb2 0.7702 0.7702 0.0000
Nd1 0.1553 0.3586 0.7967
Nd2 0.4381 0.6414 0.7967
Nd3 0.5000 0.0000 0.5000
Nd4 0.5619 0.3586 0.2033
Nd5 0.8447 0.6414 0.2033
Sc1 0.0931 0.0931 0.0000
Sc2 0.1745 0.5000 0.6745
Sc3 0.8255 0.5000 0.3255
Sc4 0.9069 0.9069 0.0000

***

12.
VASP calculation (GGA-PBE) on a relaxed Tb4Nd5Sc2 crystal.

Computed properties:
ΔE_f = 0.084 eV per atom
Distance to the lowest polymorph of the same formula = 0.0 meV per atom
Calculated total energy = -0.36150 Ry/atom
Total magnetic moment = 0.00 μB per cell

abc: 8.8819 3.5191 11.4220
angles: 90.00 93.93 90.00
Sites, in units of the cell vectors:
Tb1 0.1662 0.0000 0.3772
Tb2 0.2605 0.0000 0.9429
Tb3 0.7395 0.0000 0.0571
Tb4 0.8338 0.0000 0.6228
Nd1 0.1842 0.5000 0.6613
Nd2 0.4321 0.5000 0.1937
Nd3 0.5000 0.5000 0.5000
Nd4 0.5679 0.5000 0.8063
Nd5 0.8158 0.5000 0.3387
Sc1 0.0607 0.5000 0.1312
Sc2 0.9393 0.5000 0.8688

***

13.
VASP calculation (GGA-PBE) on a relaxed Tb5Nd4Sc2 crystal.

Computed properties:
ΔE_f = 0.040 eV per atom
Distance to the lowest polymorph of the same formula = 0.0 meV per atom
Calculated total energy = -0.36382 Ry/atom
Total magnetic moment = 0.00 μB per cell

abc: 9.4005 9.4005 7.9290
angles: 104.73 104.73 30.99
Sites, in units of the cell vectors:
Tb1 0.0000 0.0000 0.0000
Tb2 0.2735 0.2735 0.3703
Tb3 0.3648 0.3648 0.8139
Tb4 0.6352 0.6352 0.1861
Tb5 0.7265 0.7265 0.6297
Nd1 0.1821 0.1821 0.9046
Nd2 0.4561 0.4561 0.2781
Nd3 0.5439 0.5439 0.7219
Nd4 0.8179 0.8179 0.0954
Sc1 0.0900 0.0900 0.4531
Sc2 0.9100 0.9100 0.5469

***

14.
VASP calculation (GGA-PBE) on a relaxed Tb7Nd2Sc crystal.

Computed properties:
ΔE_f = 0.172 eV per atom
Calculated total energy = -0.34224 Ry/atom
Total magnetic moment = 0.00 μB per cell

abc: 14.7435 14.7435 3.4582
angles: 90.00 90.00 154.39
Sites, in units of the cell vectors:
Tb1 0.0000 0.0000 0.0000
Tb2 0.1618 0.3530 0.0000
Tb3 0.3153 0.6847 0.5000
Tb4 0.3530 0.1618 0.0000
Tb5 0.6470 0.8382 0.0000
Tb6 0.6847 0.3153 0.5000
Tb7 0.8382 0.6470 0.0000
Nd1 0.2061 0.7939 0.0000
Nd2 0.7939 0.2061 0.0000
Sc1 0.5000 0.5000 0.5000

***

15.
VASP calculation (GGA-PBE) on a relaxed Tb4NdSc4 crystal.

Computed properties:
ΔE_f = 0.055 eV per atom
Calculated total energy = -0.39299 Ry/atom
Total magnetic moment = 0.00 μB per cell

abc: 7.7006 7.7006 7.7006
angles: 95.66 95.66 143.41
Sites, in units of the cell vectors:
Tb1 0.0000 0.3290 0.3290
Tb2 0.0000 0.6710 0.6710
Tb3 0.3290 0.0000 0.3290
Tb4 0.6710 0.0000 0.6710
Nd1 0.0000 0.0000 0.0000
Sc1 0.3322 0.3322 0.6643
Sc2 0.3322 0.6678 0.0000
Sc3 0.6678 0.3322 0.0000
Sc4 0.6678 0.6678 0.3357

***

16.
VASP calculation (GGA-PBE) on a relaxed Tb5Nd2Sc crystal.

Computed properties:
ΔE_f = 0.126 eV per atom
Distance to the lowest polymorph of the same formula = 94.4 meV per atom
Calculated total energy = -0.34924 Ry/atom
Total magnetic moment = 0.00 μB per cell

abc: 9.4003 9.4003 6.6625
angles: 100.29 100.29 63.04
Sites, in units of the cell vectors:
Tb1 0.0621 0.9379 0.7500
Tb2 0.1248 0.2853 0.0496
Tb3 0.2853 0.1248 0.5496
Tb4 0.3042 0.4950 0.8480
Tb5 0.4950 0.3042 0.3480
Tb6 0.5050 0.6958 0.6520
Tb7 0.6958 0.5050 0.1520
Tb8 0.7147 0.8752 0.4504
Tb9 0.8752 0.7147 0.9504
Tb10 0.9379 0.0621 0.2500
Nd1 0.1676 0.6552 0.3597
Nd2 0.3448 0.8324 0.1403
Nd3 0.6552 0.1676 0.8597
Nd4 0.8324 0.3448 0.6403
Sc1 0.0000 0.5000 0.5000
Sc2 0.5000 0.0000 0.0000

***

17.
VASP calculation (GGA-PBE) on a relaxed TbNd4Sc5 crystal.

Computed properties:
ΔE_f = 0.054 eV per atom
Calculated total energy = -0.40290 Ry/atom
Total magnetic moment = 0.00 μB per cell

abc: 3.5772 3.5772 22.7885
angles: 90.00 90.00 90.00
Sites, in units of the cell vectors:
Tb1 0.0000 0.0000 0.0000
Nd1 0.0000 0.0000 0.1984
Nd2 0.0000 0.0000 0.3996
Nd3 0.0000 0.0000 0.6004
Nd4 0.0000 0.0000 0.8016
Sc1 0.5000 0.5000 0.0976
Sc2 0.5000 0.5000 0.2989
Sc3 0.5000 0.5000 0.5000
Sc4 0.5000 0.5000 0.7011
Sc5 0.5000 0.5000 0.9024

***

18.
VASP calculation (GGA-PBE) on a relaxed Tb3Nd2Sc2 crystal.

Computed properties:
ΔE_f = 0.127 eV per atom
Distance to the lowest polymorph of the same formula = 79.4 meV per atom
Calculated total energy = -0.36962 Ry/atom
Total magnetic moment = 0.00 μB per cell

abc: 6.5165 9.9417 6.8099
angles: 90.00 98.07 90.00
Sites, in units of the cell vectors:
Tb1 0.0000 0.0000 0.0000
Tb2 0.0000 0.5000 0.5000
Tb3 0.2419 0.2021 0.4078
Tb4 0.2419 0.2979 0.9078
Tb5 0.7581 0.7021 0.0922
Tb6 0.7581 0.7979 0.5922
Nd1 0.2310 0.6959 0.9053
Nd2 0.2310 0.8041 0.4053
Nd3 0.7690 0.1959 0.5947
Nd4 0.7690 0.3041 0.0947
Sc1 0.4430 0.9996 0.7770
Sc2 0.4430 0.5004 0.2770
Sc3 0.5570 0.0004 0.2230
Sc4 0.5570 0.4996 0.7230

***

19.
VASP calculation (GGA-PBE) on a relaxed Tb4Nd6Sc crystal.

Computed properties:
ΔE_f = 0.126 eV per atom
Calculated total energy = -0.34791 Ry/atom
Total magnetic moment = 0.00 μB per cell

abc: 5.6465 5.6465 25.8421
angles: 90.00 90.00 117.62
Sites, in units of the cell vectors:
Tb1 0.0460 0.9540 0.6236
Tb2 0.0460 0.9540 0.8764
Tb3 0.3511 0.6489 0.5445
Tb4 0.3511 0.6489 0.9555
Tb5 0.6489 0.3511 0.0445
Tb6 0.6489 0.3511 0.4555
Tb7 0.9540 0.0460 0.1236
Tb8 0.9540 0.0460 0.3764
Nd1 0.0000 0.0000 0.0000
Nd2 0.0000 0.0000 0.5000
Nd3 0.0490 0.9510 0.7500
Nd4 0.2976 0.7024 0.1051
Nd5 0.2976 0.7024 0.3949
Nd6 0.3781 0.6219 0.6835
Nd7 0.3781 0.6219 0.8165
Nd8 0.6219 0.3781 0.1835
Nd9 0.6219 0.3781 0.3165
Nd10 0.7024 0.2976 0.6051
Nd11 0.7024 0.2976 0.8949
Nd12 0.9510 0.0490 0.2500
Sc1 0.2889 0.7111 0.2500
Sc2 0.7111 0.2889 0.7500